(1)
YIrSe2: optimized geometry, GGA-PBEsol.

Cell lengths 3.6237, 3.6237, 6.7258 Å; angles 90.00, 90.00, 114.01 degrees
Atoms (fractional coordinates):
Ir  0.5000  0.5000  0.0000
Se  0.0000  0.0000  0.2206
Se  0.0000  0.0000  0.7794
Y  0.5000  0.5000  0.5000

offset from the most stable computed form = 0.272 eV/atom
V = 20.2 Å³ per atom
total magnetization = 0.00 μB per formula unit
density of states at the Fermi level = 0.3811 states/eV/atom

(2)
AgCl2: optimized geometry, GGA-PBEsol.

Cell lengths 3.8832, 3.9153, 10.3563 Å; angles 102.46, 90.00, 119.73 degrees
Atoms (fractional coordinates):
Ag  0.9638  0.9277  0.0672
Ag  0.7585  0.5170  0.3773
Cl  0.3608  0.7217  0.7222
Cl  0.3616  0.7233  0.2223
Cl  0.1386  0.2772  0.5137
Cl  0.5833  0.1666  0.9308

V = 22.1 Å³ per atom
total magnetization = 0.00 μB per formula unit
calculated total energy = -2.69 eV/atom

(3)
Si3Pb: optimized geometry, GGA-PBEsol.

Cell lengths 4.7373, 4.7373, 4.7373 Å; angles 60.00, 60.00, 60.00 degrees
Atoms (fractional coordinates):
Pb  0.0000  0.0000  0.0000
Si  0.2500  0.2500  0.2500
Si  0.5000  0.5000  0.5000
Si  0.7500  0.7500  0.7500

offset from the most stable computed form = 0.000 eV/atom
V = 18.8 Å³ per atom
total magnetization = 0.00 μB per formula unit
density of states at the Fermi level = 0.5593 states/eV/atom

(4)
BaAg2W: optimized geometry, GGA-PBEsol.

Cell lengths 3.0309, 3.0309, 8.9672 Å; angles 90.00, 90.00, 90.00 degrees
Atoms (fractional coordinates):
Ag  0.0000  0.0000  0.7017
Ag  0.0000  0.0000  0.2983
Ba  0.5000  0.5000  0.0000
W  0.5000  0.5000  0.5000

energy of formation from the pure elements = 0.6910 eV/atom
offset from the most stable computed form = 0.000 eV/atom
V = 20.6 Å³ per atom
total magnetization = 0.00 μB per formula unit
density of states at the Fermi level = 0.7192 states/eV/atom

(5)
GePRu3: optimized geometry, GGA-PBEsol.

Cell lengths 4.4376, 4.4376, 4.4376 Å; angles 90.00, 90.00, 90.00 degrees
Atoms (fractional coordinates):
Ru  0.0000  0.5000  0.0000
Ru  0.0000  0.0000  0.5000
Ru  0.5000  0.0000  0.0000
Ge  0.0000  0.0000  0.0000
P  0.5000  0.5000  0.5000

energy of formation from the pure elements = 1.4899 eV/atom
V = 17.5 Å³ per atom
total magnetization = 0.00 μB per formula unit
density of states at the Fermi level = 1.7059 states/eV/atom

(6)
Y3Ru2: optimized geometry, GGA-PBEsol.

Cell lengths 4.6258, 7.5432, 7.5432 Å; angles 120.00, 90.00, 90.00 degrees
Atoms (fractional coordinates):
Ru  0.7500  0.3333  0.6667
Ru  0.2500  0.6667  0.3333
Ru  0.0000  0.0000  0.0000
Ru  0.5000  0.0000  0.0000
Y  0.7500  0.9203  0.6162
Y  0.7500  0.6959  0.0797
Y  0.7500  0.3838  0.3041
Y  0.2500  0.0797  0.3838
Y  0.2500  0.3041  0.9203
Y  0.2500  0.6162  0.6959

energy of formation from the pure elements = -0.2080 eV/atom
offset from the most stable computed form = 0.000 eV/atom
V = 22.8 Å³ per atom
total magnetization = 0.00 μB per formula unit
density of states at the Fermi level = 0.5454 states/eV/atom

(7)
SrCd4Fe: optimized geometry, GGA-PBEsol.

Cell lengths 5.6985, 5.6985, 5.6985 Å; angles 60.00, 60.00, 60.00 degrees
Atoms (fractional coordinates):
Cd  0.3761  0.3761  0.3761
Cd  0.3761  0.3761  0.8717
Cd  0.8717  0.3761  0.3761
Cd  0.3761  0.8717  0.3761
Fe  0.7500  0.7500  0.7500
Sr  0.0000  0.0000  0.0000

energy of formation from the pure elements = 0.2027 eV/atom
V = 21.8 Å³ per atom
total magnetization = 2.18 μB per formula unit
density of states at the Fermi level = 1.3281 states/eV/atom

(8)
AgBiAs3: optimized geometry, GGA-PBEsol.

Cell lengths 4.9443, 4.9443, 4.9443 Å; angles 90.00, 90.00, 90.00 degrees
Atoms (fractional coordinates):
As  0.0000  0.5000  0.0000
As  0.0000  0.0000  0.5000
As  0.5000  0.0000  0.0000
Bi  0.5000  0.5000  0.5000
Ag  0.0000  0.0000  0.0000

energy of formation from the pure elements = 0.7155 eV/atom
V = 24.2 Å³ per atom
total magnetization = 0.00 μB per formula unit
density of states at the Fermi level = 0.8425 states/eV/atom